Computed, not measured: an optimized crystal structure of CsHfTa2S8 at the GGA-PBE level of DFT.

abc: 6.498 6.498 10.463
angles: 71.91 71.91 60.00
Site moments in Bohr magnetons follow the coordinates.
Fractional positions:
Cs 0.500 0.500 0.500  0.00
Hf 0.000 0.000 0.000  0.00
Ta 0.261 0.261 0.216  -0.02
Ta 0.739 0.739 0.784  -0.02
S 0.185 0.185 0.445  0.10
S 0.632 0.267 0.153  0.05
S 0.815 0.815 0.555  0.10
S 0.949 0.632 0.153  0.05
S 0.051 0.368 0.847  0.05
S 0.267 0.949 0.153  0.05
S 0.733 0.051 0.847  0.05
S 0.368 0.733 0.847  0.05

- DOS at the Fermi energy (states/eV/atom) = 1.09
- mass density (Mg/m³) = 4.32
- raw formation energy (eV per atom) = -0.9336

Computed, not measured: an optimized crystal structure of Cs3Tb3HfS8 at the GGA-PBE level of DFT.

abc: 8.005 8.007 9.437
angles: 115.13 90.00 120.00
Fractional positions:
Cs 0.000 0.000 0.000
Cs 0.000 0.500 0.000
Cs 0.500 0.500 0.000
Tb 0.500 0.000 0.500
Tb 0.500 0.500 0.500
Tb 0.000 0.500 0.500
Hf 0.000 0.000 0.500
S 0.273 0.546 0.318
S 0.727 0.454 0.682
S 0.785 0.571 0.326
S 0.215 0.429 0.674
S 0.785 0.040 0.326
S 0.215 0.960 0.674
S 0.255 0.040 0.326
S 0.745 0.960 0.674

- DOS at the Fermi energy (states/eV/atom) = 0.00
- mass density (Mg/m³) = 4.77
- raw formation energy (eV per atom) = -1.8093

Computed, not measured: an optimized crystal structure of Cs3Tb2HfS6 at the GGA-PBE level of DFT.

abc: 6.933 6.933 8.396
angles: 97.92 97.92 120.00
Fractional positions:
Cs 0.170 0.830 0.500
Cs 0.830 0.170 0.500
Cs 0.500 0.500 0.500
Tb 0.334 0.666 0.000
Tb 0.666 0.334 0.000
Hf 0.000 0.000 0.000
S 0.940 0.625 0.820
S 0.746 0.746 0.181
S 0.060 0.375 0.180
S 0.625 0.940 0.820
S 0.254 0.254 0.819
S 0.375 0.060 0.180

- DOS at the Fermi energy (states/eV/atom) = 0.30
- mass density (Mg/m³) = 5.38
- raw formation energy (eV per atom) = -1.6716

Computed, not measured: an optimized crystal structure of Cs2Tb2HfS6 at the GGA-PBE level of DFT.

abc: 6.832 6.832 8.581
angles: 97.96 97.96 119.67
Fractional positions:
Cs 0.831 0.169 0.000
Cs 0.169 0.831 0.000
Tb 0.333 0.667 0.500
Tb 0.667 0.333 0.500
Hf 0.000 0.000 0.500
S 0.749 0.749 0.675
S 0.061 0.374 0.676
S 0.251 0.251 0.325
S 0.374 0.061 0.676
S 0.939 0.626 0.324
S 0.626 0.939 0.324

- DOS at the Fermi energy (states/eV/atom) = 0.00
- mass density (Mg/m³) = 4.74
- raw formation energy (eV per atom) = -1.8054

Computed, not measured: an optimized crystal structure of CsTbHfS4 at the GGA-PBE level of DFT.

abc: 6.926 7.055 9.721
angles: 90.00 109.61 90.00
Fractional positions:
Cs 0.725 0.750 0.946
Cs 0.275 0.250 0.054
Tb 0.801 0.750 0.455
Tb 0.199 0.250 0.545
Hf 0.252 0.750 0.347
Hf 0.748 0.250 0.653
S 0.997 0.500 0.682
S 0.003 0.000 0.318
S 0.003 0.500 0.318
S 0.997 0.000 0.682
S 0.458 0.750 0.195
S 0.542 0.250 0.805
S 0.493 0.750 0.582
S 0.507 0.250 0.418

- DOS at the Fermi energy (states/eV/atom) = 0.00
- mass density (Mg/m³) = 4.44
- raw formation energy (eV per atom) = -1.6644

Computed, not measured: an optimized crystal structure of Cs4Tb3HfS8 at the GGA-PBE level of DFT.

abc: 8.065 9.317 8.071
angles: 115.69 119.98 90.00
Fractional positions:
Cs 0.500 0.000 0.000
Cs 0.500 0.000 0.500
Cs 0.000 0.000 0.000
Cs 0.000 0.000 0.500
Tb 0.500 0.500 0.000
Tb 0.500 0.500 0.500
Tb 0.000 0.500 0.500
Hf 0.000 0.500 0.000
S 0.217 0.679 0.962
S 0.217 0.679 0.434
S 0.272 0.315 0.543
S 0.745 0.679 0.962
S 0.255 0.321 0.038
S 0.728 0.685 0.457
S 0.783 0.321 0.566
S 0.783 0.321 0.038

- DOS at the Fermi energy (states/eV/atom) = 0.27
- mass density (Mg/m³) = 5.27
- raw formation energy (eV per atom) = -1.7084

Computed, not measured: an optimized crystal structure of Cs2Hf3TlS8 at the GGA-PBE level of DFT.

abc: 7.523 7.523 9.666
angles: 67.10 67.10 60.00
Fractional positions:
Cs 0.144 0.144 0.567
Cs 0.496 0.496 0.513
Hf 0.498 0.000 0.004
Hf 0.000 0.498 0.004
Hf 0.498 0.498 0.004
Tl 0.881 0.881 0.358
S 0.276 0.276 0.173
S 0.720 0.720 0.840
S 0.227 0.227 0.846
S 0.700 0.227 0.846
S 0.227 0.700 0.846
S 0.762 0.302 0.173
S 0.302 0.762 0.173
S 0.762 0.762 0.173

- DOS at the Fermi energy (states/eV/atom) = 0.67
- mass density (Mg/m³) = 4.95
- raw formation energy (eV per atom) = -1.2776

Computed, not measured: an optimized crystal structure of Cs2Tm2HfS6 at the GGA-PBE level of DFT.

abc: 6.741 6.741 8.566
angles: 97.82 97.82 119.78
Fractional positions:
Cs 0.831 0.169 0.000
Cs 0.169 0.831 0.000
Tm 0.333 0.667 0.500
Tm 0.667 0.333 0.500
Hf 0.000 0.000 0.500
S 0.743 0.743 0.674
S 0.061 0.378 0.675
S 0.257 0.257 0.326
S 0.378 0.061 0.675
S 0.939 0.622 0.325
S 0.622 0.939 0.325

- DOS at the Fermi energy (states/eV/atom) = 0.00
- mass density (Mg/m³) = 4.98
- raw formation energy (eV per atom) = -1.8114

Computed, not measured: an optimized crystal structure of Cs3Tm2HfS6 at the GGA-PBE level of DFT.

abc: 6.850 6.850 8.375
angles: 97.83 97.83 120.00
Fractional positions:
Cs 0.169 0.831 0.500
Cs 0.831 0.169 0.500
Cs 0.500 0.500 0.500
Tm 0.333 0.667 0.000
Tm 0.667 0.333 0.000
Hf 0.000 0.000 0.000
S 0.941 0.621 0.822
S 0.740 0.740 0.179
S 0.059 0.379 0.178
S 0.621 0.941 0.822
S 0.260 0.260 0.821
S 0.379 0.059 0.178

- DOS at the Fermi energy (states/eV/atom) = 0.27
- mass density (Mg/m³) = 5.62
- raw formation energy (eV per atom) = -1.6669

Computed, not measured: an optimized crystal structure of Cs2HfU2S6 at the GGA-PBE level of DFT.

abc: 6.766 6.766 8.624
angles: 97.63 97.63 119.66
Site moments in Bohr magnetons follow the coordinates.
Fractional positions:
Cs 0.832 0.168 0.000  0.01
Cs 0.168 0.832 0.000  0.01
Hf 0.000 0.000 0.500  0.32
U 0.334 0.666 0.500  2.51
U 0.666 0.334 0.500  2.51
S 0.745 0.745 0.678  -0.04
S 0.061 0.377 0.678  -0.05
S 0.255 0.255 0.322  -0.04
S 0.377 0.061 0.678  -0.05
S 0.939 0.623 0.322  -0.05
S 0.623 0.939 0.322  -0.05

- DOS at the Fermi energy (states/eV/atom) = 0.72
- mass density (Mg/m³) = 5.58
- raw formation energy (eV per atom) = -1.4515

Computed, not measured: an optimized crystal structure of Cs3HfU3S8 at the GGA-PBE level of DFT.

abc: 7.929 7.929 9.474
angles: 114.75 90.00 120.00
Site moments in Bohr magnetons follow the coordinates.
Fractional positions:
Cs 0.000 0.000 0.000  0.01
Cs 0.000 0.500 0.000  0.01
Cs 0.500 0.500 0.000  0.01
Hf 0.000 0.000 0.500  0.29
U 0.500 0.000 0.500  2.56
U 0.500 0.500 0.500  2.56
U 0.000 0.500 0.500  2.56
S 0.271 0.543 0.314  -0.06
S 0.729 0.457 0.686  -0.06
S 0.784 0.567 0.324  -0.04
S 0.216 0.433 0.676  -0.04
S 0.784 0.040 0.324  -0.04
S 0.216 0.960 0.676  -0.04
S 0.257 0.040 0.324  -0.04
S 0.743 0.960 0.676  -0.04

- DOS at the Fermi energy (states/eV/atom) = 0.86
- mass density (Mg/m³) = 5.69
- raw formation energy (eV per atom) = -1.4188

Computed, not measured: an optimized crystal structure of CsHfUS6 at the GGA-PBE level of DFT.

abc: 9.047 9.623 9.401
angles: 120.79 118.76 90.00
Fractional positions:
Cs 0.891 0.641 0.781
Cs 0.109 0.359 0.219
Hf 0.500 0.000 0.500
Hf 0.000 0.000 0.500
U 0.500 0.500 0.000
U 0.500 0.000 0.000
S 0.430 0.680 0.860
S 0.829 0.079 0.659
S 0.824 0.075 0.257
S 0.433 0.682 0.257
S 0.433 0.075 0.257
S 0.824 0.682 0.257
S 0.570 0.320 0.140
S 0.171 0.921 0.341
S 0.176 0.925 0.743
S 0.567 0.318 0.743
S 0.567 0.925 0.743
S 0.176 0.318 0.743

- DOS at the Fermi energy (states/eV/atom) = 0.74
- mass density (Mg/m³) = 4.23
- raw formation energy (eV per atom) = -1.0966

Computed, not measured: an optimized crystal structure of Cs2HfZnS4 at the GGA-PBE level of DFT.

abc: 5.917 7.848 13.189
angles: 85.15 77.04 67.85
Fractional positions:
Cs 0.177 0.000 0.646
Cs 0.823 0.000 0.354
Cs 0.573 0.500 0.854
Cs 0.927 0.500 0.146
Hf 0.750 0.500 0.500
Hf 0.000 0.000 0.000
Zn 0.250 0.500 0.500
Zn 0.500 0.000 0.000
S 0.292 0.815 0.102
S 0.208 0.185 0.898
S 0.894 0.815 0.898
S 0.606 0.185 0.102
S 0.458 0.685 0.398
S 0.542 0.315 0.602
S 0.856 0.685 0.602
S 0.144 0.315 0.398

- DOS at the Fermi energy (states/eV/atom) = 0.00
- mass density (Mg/m³) = 3.83
- raw formation energy (eV per atom) = -1.3245

Computed, not measured: an optimized crystal structure of CsHf3Sb at the GGA-PBE level of DFT.

abc: 5.260 5.260 5.260
angles: 90.00 90.00 90.00
Site moments in Bohr magnetons follow the coordinates.
Fractional positions:
Cs 0.000 0.000 0.000  0.04
Sb 0.500 0.500 0.500  0.00
Hf 0.000 0.500 0.000  0.28
Hf 0.000 0.000 0.500  0.22
Hf 0.500 0.000 0.000  0.32

- excess energy over the best structure of this formula in the dataset (eV per formula unit) = 4.94
- DOS at the Fermi energy (states/eV/atom) = 1.65
- mass density (Mg/m³) = 9.02
- raw formation energy (eV per atom) = 2.2004

Computed, not measured: an optimized crystal structure of CsHf3Sb at the GGA-PBE level of DFT.

abc: 5.478 5.478 5.478
angles: 90.00 90.00 90.00
Fractional positions:
Cs 0.500 0.500 0.500
Sb 0.000 0.000 0.000
Hf 0.000 0.500 0.000
Hf 0.000 0.000 0.500
Hf 0.500 0.000 0.000

- excess energy over the best structure of this formula in the dataset (eV per formula unit) = 0.00
- DOS at the Fermi energy (states/eV/atom) = 1.38
- mass density (Mg/m³) = 7.98
- raw formation energy (eV per atom) = 1.2120

Computed, not measured: an optimized crystal structure of CsHf2Sb2 at the GGA-PBE level of DFT.

abc: 4.660 4.660 8.774
angles: 74.60 74.60 90.00
Fractional positions:
Cs 0.000 0.000 0.000
Sb 0.354 0.354 0.291
Sb 0.646 0.646 0.709
Hf 0.750 0.250 0.500
Hf 0.250 0.750 0.500

- DOS at the Fermi energy (states/eV/atom) = 0.80
- mass density (Mg/m³) = 6.90
- raw formation energy (eV per atom) = -0.3218

Computed, not measured: an optimized crystal structure of Cs3HfSb at the GGA-PBE level of DFT.

abc: 7.391 7.391 7.391
angles: 90.00 90.00 90.00
Site moments in Bohr magnetons follow the coordinates.
Fractional positions:
Cs 0.000 0.500 0.000  -0.01
Cs 0.000 0.000 0.500  -0.01
Cs 0.500 0.000 0.000  -0.01
Hf 0.500 0.500 0.500  1.45
Sb 0.000 0.000 0.000  -0.20

- excess energy over the best structure of this formula in the dataset (eV per formula unit) = 0.00
- DOS at the Fermi energy (states/eV/atom) = 1.32
- mass density (Mg/m³) = 2.87
- raw formation energy (eV per atom) = 0.9625

Computed, not measured: an optimized crystal structure of CsHfSb3 at the GGA-PBE level of DFT.

abc: 5.864 5.864 5.864
angles: 90.00 90.00 90.00
Fractional positions:
Cs 0.000 0.000 0.000
Sb 0.000 0.500 0.000
Sb 0.000 0.000 0.500
Sb 0.500 0.000 0.000
Hf 0.500 0.500 0.500

- excess energy over the best structure of this formula in the dataset (eV per formula unit) = 10.37
- DOS at the Fermi energy (states/eV/atom) = 0.68
- mass density (Mg/m³) = 5.57
- raw formation energy (eV per atom) = 1.9129

Computed, not measured: an optimized crystal structure of CsHfSb3 at the GGA-PBE level of DFT.

abc: 5.645 5.645 5.645
angles: 90.00 90.00 90.00
Fractional positions:
Cs 0.500 0.500 0.500
Hf 0.000 0.000 0.000
Sb 0.000 0.500 0.000
Sb 0.000 0.000 0.500
Sb 0.500 0.000 0.000

- excess energy over the best structure of this formula in the dataset (eV per formula unit) = 0.00
- DOS at the Fermi energy (states/eV/atom) = 1.38
- mass density (Mg/m³) = 6.25
- raw formation energy (eV per atom) = -0.1620

Computed, not measured: an optimized crystal structure of Cs2HfSb2Se6 at the GGA-PBE level of DFT.

abc: 7.661 6.873 9.106
angles: 102.84 90.00 123.87
Fractional positions:
Cs 0.688 0.375 0.104
Cs 0.312 0.625 0.896
Hf 0.500 0.000 0.500
Sb 0.897 0.793 0.751
Sb 0.103 0.207 0.249
Se 0.732 0.465 0.500
Se 0.222 0.919 0.269
Se 0.303 0.081 0.731
Se 0.778 0.081 0.731
Se 0.697 0.919 0.269
Se 0.268 0.535 0.500

- DOS at the Fermi energy (states/eV/atom) = 0.02
- mass density (Mg/m³) = 5.03
- raw formation energy (eV per atom) = -0.7649

Computed, not measured: an optimized crystal structure of CsSrHf2Sb at the GGA-PBE level of DFT.

abc: 5.543 5.970 5.543
angles: 90.00 90.00 90.00
Fractional positions:
Cs 0.000 0.500 0.000
Sb 0.500 0.500 0.500
Hf 0.000 0.000 0.500
Hf 0.500 0.000 0.000
Sr 0.000 0.000 0.000

- DOS at the Fermi energy (states/eV/atom) = 1.24
- mass density (Mg/m³) = 6.33
- raw formation energy (eV per atom) = 1.8065

Computed, not measured: an optimized crystal structure of CsHf2Sc at the GGA-PBE level of DFT.

abc: 5.339 5.339 5.339
angles: 60.00 60.00 60.00
Fractional positions:
Cs 0.500 0.500 0.500
Sc 0.000 0.000 0.000
Hf 0.250 0.250 0.250
Hf 0.750 0.750 0.750

- excess energy over the best structure of this formula in the dataset (eV per formula unit) = 0.05
- DOS at the Fermi energy (states/eV/atom) = 1.67
- mass density (Mg/m³) = 8.25
- formation energy (eV per atom) = 1.301